Record 1
# Ho2Er5In5

A relaxed Ho2Er5In5 crystal (PBE, the Alexandria database).

## Properties
The value obtained for the formation energy is -0.301 eV/atom.

```
data_Ho2Er5In5
_cell_length_a 11.9892
_cell_length_b 5.0332
_cell_length_c 11.7419
_cell_angle_alpha 90.00
_cell_angle_beta 110.08
_cell_angle_gamma 90.00
_symmetry_space_group_name_H-M 'C 1 2/m 1'
_symmetry_Int_Tables_number 12
loop_
_symmetry_equiv_pos_as_xyz
'x,y,z'
'-x,-y,-z'
'-x,y,-z'
'x,-y,z'
'x+1/2,y+1/2,z'
'-x+1/2,-y+1/2,-z'
'-x+1/2,y+1/2,-z'
'x+1/2,-y+1/2,z'
loop_
_atom_site_label
_atom_site_type_symbol
_atom_site_fract_x
_atom_site_fract_y
_atom_site_fract_z
Ho1 Ho 0.0757 0.0000 0.2575
Er1 Er 0.0000 0.5000 0.0000
Er2 Er 0.1307 0.5000 0.7753
Er3 Er 0.1516 0.5000 0.5003
In1 In 0.0000 0.0000 0.5000
In2 In 0.1656 0.0000 0.9668
In3 In 0.2403 0.5000 0.2793
```



Record 2
# Ho6Er2In

A relaxed Ho6Er2In crystal (PBE, the Alexandria database).

## Properties
The energy above the most stable polymorph in this dataset comes out at 0.0 kJ/mol of formula units. The value obtained for the formation energy is -0.101 eV/atom.

```
data_Ho6Er2In
_cell_length_a 20.7995
_cell_length_b 6.1375
_cell_length_c 8.8924
_cell_angle_alpha 90.00
_cell_angle_beta 109.22
_cell_angle_gamma 90.00
_symmetry_space_group_name_H-M 'C 1 2/c 1'
_symmetry_Int_Tables_number 15
loop_
_symmetry_equiv_pos_as_xyz
'x,y,z'
'-x,-y,-z'
'-x,y,-z+1/2'
'x,-y,z+1/2'
'x+1/2,y+1/2,z'
'-x+1/2,-y+1/2,-z'
'-x+1/2,y+1/2,-z+1/2'
'x+1/2,-y+1/2,z+1/2'
loop_
_atom_site_label
_atom_site_type_symbol
_atom_site_fract_x
_atom_site_fract_y
_atom_site_fract_z
Ho1 Ho 0.0538 0.1701 0.1367
Ho2 Ho 0.1086 0.3502 0.5296
Ho3 Ho 0.1631 0.1647 0.9178
Er1 Er 0.2231 0.3303 0.3058
In1 In 0.0000 0.3346 0.7500
```



Record 3
# Ho2Er8In

A relaxed Ho2Er8In crystal (PBE, the Alexandria database).

## Properties
The value obtained for the formation energy is -0.054 eV/atom.

```
data_Ho2Er8In
_cell_length_a 19.1644
_cell_length_b 5.4801
_cell_length_c 6.3508
_cell_angle_alpha 90.00
_cell_angle_beta 95.03
_cell_angle_gamma 90.00
_symmetry_space_group_name_H-M 'C 1 2/m 1'
_symmetry_Int_Tables_number 12
loop_
_symmetry_equiv_pos_as_xyz
'x,y,z'
'-x,-y,-z'
'-x,y,-z'
'x,-y,z'
'x+1/2,y+1/2,z'
'-x+1/2,-y+1/2,-z'
'-x+1/2,y+1/2,-z'
'x+1/2,-y+1/2,z'
loop_
_atom_site_label
_atom_site_type_symbol
_atom_site_fract_x
_atom_site_fract_y
_atom_site_fract_z
Ho1 Ho 0.2433 0.0000 0.3347
Er1 Er 0.0451 0.0000 0.2652
Er2 Er 0.0789 0.5000 0.5954
Er3 Er 0.1533 0.0000 0.8048
Er4 Er 0.1618 0.5000 0.1223
In1 In 0.0000 0.5000 0.0000
```



Record 4
# HoErIn

A relaxed HoErIn crystal (PBE, the Alexandria database).

## Properties
The energy above the most stable polymorph in this dataset comes out at 19.2 kJ/mol of formula units. The value obtained for the formation energy is -0.248 eV/atom.

```
data_HoErIn
_cell_length_a 3.5227
_cell_length_b 4.5222
_cell_length_c 10.3339
_cell_angle_alpha 90.00
_cell_angle_beta 90.00
_cell_angle_gamma 90.00
_symmetry_space_group_name_H-M 'I m m 2'
_symmetry_Int_Tables_number 44
loop_
_symmetry_equiv_pos_as_xyz
'x,y,z'
'-x,-y,z'
'-x,y,z'
'x,-y,z'
'x+1/2,y+1/2,z+1/2'
'-x+1/2,-y+1/2,z+1/2'
'-x+1/2,y+1/2,z+1/2'
'x+1/2,-y+1/2,z+1/2'
loop_
_atom_site_label
_atom_site_type_symbol
_atom_site_fract_x
_atom_site_fract_y
_atom_site_fract_z
Ho1 Ho 0.0000 0.0000 0.0000
Er1 Er 0.0000 0.0000 0.3135
In1 In 0.0000 0.0000 0.6576
```



Record 5
# Ho2Er3In4

A relaxed Ho2Er3In4 crystal (PBE, the Alexandria database).

## Properties
The value obtained for the formation energy is -0.238 eV/atom.

```
data_Ho2Er3In4
_cell_length_a 6.9658
_cell_length_b 15.6876
_cell_length_c 9.4637
_cell_angle_alpha 90.00
_cell_angle_beta 90.00
_cell_angle_gamma 90.00
_symmetry_space_group_name_H-M 'C m c e'
_symmetry_Int_Tables_number 64
_symmetry_space_group_name_Hall '-C 2ac 2'
loop_
_atom_site_label
_atom_site_type_symbol
_atom_site_fract_x
_atom_site_fract_y
_atom_site_fract_z
Ho1 Ho 0.0000 0.1091 0.0530
Er1 Er 0.0000 0.0000 0.5000
Er2 Er 0.2500 0.2139 0.7500
In1 In 0.0000 0.1922 0.4692
In2 In 0.2500 0.0158 0.7500
```



Record 6
# Ho2Er8In3

A relaxed Ho2Er8In3 crystal (PBE, the Alexandria database).

## Properties
The value obtained for the formation energy is 0.129 eV/atom.

```
data_Ho2Er8In3
_cell_length_a 6.3424
_cell_length_b 6.3424
_cell_length_c 34.7148
_cell_angle_alpha 90.00
_cell_angle_beta 90.00
_cell_angle_gamma 120.00
_symmetry_space_group_name_H-M 'R -3 m'
_symmetry_Int_Tables_number 166
_symmetry_space_group_name_Hall '-R 3 2"'
loop_
_atom_site_label
_atom_site_type_symbol
_atom_site_fract_x
_atom_site_fract_y
_atom_site_fract_z
Ho1 Ho 0.0000 0.0000 0.1366
Er1 Er 0.0000 0.0000 0.2266
Er2 Er 0.0010 0.5005 0.7202
In1 In 0.0000 0.0000 0.3122
In2 In 0.0000 0.0000 0.5000
```



Record 7
# HoEr3In3

A relaxed HoEr3In3 crystal (PBE, the Alexandria database).

## Properties
The energy above the most stable polymorph in this dataset comes out at 21.2 kJ/mol of formula units. The value obtained for the formation energy is -0.295 eV/atom.

```
data_HoEr3In3
_cell_length_a 9.2498
_cell_length_b 9.2498
_cell_length_c 9.2498
_cell_angle_alpha 90.00
_cell_angle_beta 90.00
_cell_angle_gamma 90.00
_symmetry_space_group_name_H-M 'P 21 3'
_symmetry_Int_Tables_number 198
_symmetry_space_group_name_Hall 'P 2ac 2ab 3'
loop_
_atom_site_label
_atom_site_type_symbol
_atom_site_fract_x
_atom_site_fract_y
_atom_site_fract_z
Ho1 Ho 0.0741 0.4259 0.5741
Er1 Er 0.0762 0.5762 0.9238
Er2 Er 0.1753 0.1753 0.1753
Er3 Er 0.1753 0.8247 0.3247
In1 In 0.0003 0.2514 0.8759
```



Record 8
# Ho5ErIn3

A relaxed Ho5ErIn3 crystal (PBE, the Alexandria database).

## Properties
The value obtained for the formation energy is -0.352 eV/atom.

```
data_Ho5ErIn3
_cell_length_a 9.2898
_cell_length_b 9.2898
_cell_length_c 6.6957
_cell_angle_alpha 90.00
_cell_angle_beta 90.00
_cell_angle_gamma 120.00
_symmetry_space_group_name_H-M 'P 63/m c m'
_symmetry_Int_Tables_number 193
_symmetry_space_group_name_Hall '-P 6c 2'
loop_
_atom_site_label
_atom_site_type_symbol
_atom_site_fract_x
_atom_site_fract_y
_atom_site_fract_z
Ho1 Ho 0.0000 0.3331 0.2500
Ho2 Ho 0.3333 0.6667 0.0000
Er1 Er 0.0000 0.0000 0.0000
In1 In 0.0000 0.3332 0.7500
```



Record 9
# Ho8Er6In

A relaxed Ho8Er6In crystal (PBE, the Alexandria database).

## Properties
The energy above the most stable polymorph in this dataset comes out at 245.6 kJ/mol of formula units. The value obtained for the formation energy is 0.196 eV/atom.

```
data_Ho8Er6In
_cell_length_a 9.0769
_cell_length_b 9.0769
_cell_length_c 6.6645
_cell_angle_alpha 90.00
_cell_angle_beta 90.00
_cell_angle_gamma 120.00
_symmetry_space_group_name_H-M 'P -3'
_symmetry_Int_Tables_number 147
loop_
_symmetry_equiv_pos_as_xyz
'x,y,z'
'-x,-y,-z'
'-y,x-y,z'
'y,-x+y,-z'
'-x+y,-x,z'
'x-y,x,-z'
loop_
_atom_site_label
_atom_site_type_symbol
_atom_site_fract_x
_atom_site_fract_y
_atom_site_fract_z
Ho1 Ho 0.0121 0.3232 0.1155
Ho2 Ho 0.3333 0.6667 0.8134
Er1 Er 0.0780 0.6803 0.3941
In1 In 0.0000 0.0000 0.5000
```



Record 10
# HoEr4In3

A relaxed HoEr4In3 crystal (PBE, the Alexandria database).

## Properties
The energy above the most stable polymorph in this dataset comes out at 81.2 kJ/mol of formula units. The value obtained for the formation energy is -0.203 eV/atom.

```
data_HoEr4In3
_cell_length_a 3.4743
_cell_length_b 8.7725
_cell_length_c 15.0190
_cell_angle_alpha 90.00
_cell_angle_beta 90.00
_cell_angle_gamma 90.00
_symmetry_space_group_name_H-M 'I m m m'
_symmetry_Int_Tables_number 71
_symmetry_space_group_name_Hall '-I 2 2'
loop_
_atom_site_label
_atom_site_type_symbol
_atom_site_fract_x
_atom_site_fract_y
_atom_site_fract_z
Ho1 Ho 0.0000 0.0000 0.0000
Er1 Er 0.0000 0.3014 0.1402
In1 In 0.0000 0.0000 0.5000
In2 In 0.0000 0.5000 0.3155
```



Record 11
# Ho2ErIn2

A relaxed Ho2ErIn2 crystal (PBE, the Alexandria database).

## Properties
The energy above the most stable polymorph in this dataset comes out at 0.0 kJ/mol of formula units. The value obtained for the formation energy is -0.373 eV/atom.

```
data_Ho2ErIn2
_cell_length_a 3.7194
_cell_length_b 5.3105
_cell_length_c 13.9150
_cell_angle_alpha 90.00
_cell_angle_beta 97.70
_cell_angle_gamma 90.00
_symmetry_space_group_name_H-M 'P 1 21/m 1'
_symmetry_Int_Tables_number 11
loop_
_symmetry_equiv_pos_as_xyz
'x,y,z'
'-x,-y,-z'
'-x,y+1/2,-z'
'x,-y+1/2,z'
loop_
_atom_site_label
_atom_site_type_symbol
_atom_site_fract_x
_atom_site_fract_y
_atom_site_fract_z
Ho1 Ho 0.0475 0.2500 0.0951
Ho2 Ho 0.2373 0.2500 0.4745
Er1 Er 0.1493 0.7500 0.3000
In1 In 0.3574 0.7500 0.7134
In2 In 0.4490 0.2500 0.8984
```



Record 12
# HoEr4In3

A relaxed HoEr4In3 crystal (PBE, the Alexandria database).

## Properties
The energy above the most stable polymorph in this dataset comes out at 0.0 kJ/mol of formula units. The value obtained for the formation energy is -0.308 eV/atom.

```
data_HoEr4In3
_cell_length_a 5.2990
_cell_length_b 5.2990
_cell_length_c 27.3205
_cell_angle_alpha 90.00
_cell_angle_beta 90.00
_cell_angle_gamma 120.00
_symmetry_space_group_name_H-M 'R -3 m'
_symmetry_Int_Tables_number 166
_symmetry_space_group_name_Hall '-R 3 2"'
loop_
_atom_site_label
_atom_site_type_symbol
_atom_site_fract_x
_atom_site_fract_y
_atom_site_fract_z
Ho1 Ho 0.0000 0.0000 0.0000
Er1 Er 0.0000 0.0000 0.1287
Er2 Er 0.0000 0.0000 0.3876
In1 In 0.0000 0.0000 0.2655
In2 In 0.0000 0.0000 0.5000
```



What did the third record say?
# Ho2Er8In

A relaxed Ho2Er8In crystal (PBE, the Alexandria database).

## Properties
The value obtained for the formation energy is -0.054 eV/atom.

```
data_Ho2Er8In
_cell_length_a 19.1644
_cell_length_b 5.4801
_cell_length_c 6.3508
_cell_angle_alpha 90.00
_cell_angle_beta 95.03
_cell_angle_gamma 90.00
_symmetry_space_group_name_H-M 'C 1 2/m 1'
_symmetry_Int_Tables_number 12
loop_
_symmetry_equiv_pos_as_xyz
'x,y,z'
'-x,-y,-z'
'-x,y,-z'
'x,-y,z'
'x+1/2,y+1/2,z'
'-x+1/2,-y+1/2,-z'
'-x+1/2,y+1/2,-z'
'x+1/2,-y+1/2,z'
loop_
_atom_site_label
_atom_site_type_symbol
_atom_site_fract_x
_atom_site_fract_y
_atom_site_fract_z
Ho1 Ho 0.2433 0.0000 0.3347
Er1 Er 0.0451 0.0000 0.2652
Er2 Er 0.0789 0.5000 0.5954
Er3 Er 0.1533 0.0000 0.8048
Er4 Er 0.1618 0.5000 0.1223
In1 In 0.0000 0.5000 0.0000
```